1.
Below is an optimized crystal structure of CeCd3Pd2, with properties calculated at the GGA-PBE level.

The structure in CIF format:
```
data_CeCd3Pd2
_space_group_name_H-M_alt 'C 1 2/m 1'
_space_group_IT_number 12
_space_group_name_Hall '-C 2y'
_cell_length_a 16.1595
_cell_length_b 4.3086
_cell_length_c 8.3028
_cell_angle_alpha 90.00
_cell_angle_beta 113.81
_cell_angle_gamma 90.00
loop_
_atom_site_label
_atom_site_type_symbol
_atom_site_fract_x
_atom_site_fract_y
_atom_site_fract_z
Ce1 Ce 0.1203 0.0000 0.1539
Cd1 Cd 0.0521 0.0000 0.6826
Cd2 Cd 0.1588 0.5000 0.4941
Cd3 Cd 0.1827 0.5000 0.8934
Pd1 Pd 0.0015 0.5000 0.1650
Pd2 Pd 0.2393 0.0000 0.7308
```

Values from the calculation:
- formation energy (meV/atom) = -398.8

---

2.
Below is an optimized crystal structure of CeCd9Pd2, with properties calculated at the GGA-PBE level.

The structure in CIF format:
```
data_CeCd9Pd2
_space_group_name_H-M_alt 'I 41/a m d'
_space_group_IT_number 141
_cell_length_a 11.7185
_cell_length_b 11.7185
_cell_length_c 7.5645
_cell_angle_alpha 90.00
_cell_angle_beta 90.00
_cell_angle_gamma 90.00
loop_
_space_group_symop_operation_xyz
'x,y,z'
'-x,-y,-z'
'-y+1/4,x+3/4,z+1/4'
'y+1/4,-x+3/4,-z+1/4'
'-x+1/2,-y,z+1/2'
'x+1/2,y,-z+1/2'
'y+1/4,-x+1/4,z+3/4'
'-y+1/4,x+1/4,-z+3/4'
'x,-y,-z'
'-x,y,z'
'-y+1/4,-x+1/4,-z+3/4'
'y+1/4,x+1/4,z+3/4'
'-x+1/2,y,-z+1/2'
'x+1/2,-y,z+1/2'
'y+1/4,x+3/4,-z+1/4'
'-y+1/4,-x+3/4,z+1/4'
'x+1/2,y+1/2,z+1/2'
'-x+1/2,-y+1/2,-z+1/2'
'-y+3/4,x+1/4,z+3/4'
'y+3/4,-x+1/4,-z+3/4'
'-x,-y+1/2,z'
'x,y+1/2,-z'
'y+3/4,-x+3/4,z+1/4'
'-y+3/4,x+3/4,-z+1/4'
'x+1/2,-y+1/2,-z+1/2'
'-x+1/2,y+1/2,z+1/2'
'-y+3/4,-x+3/4,-z+1/4'
'y+3/4,x+3/4,z+1/4'
'-x,y+1/2,-z'
'x,-y+1/2,z'
'y+3/4,x+1/4,-z+3/4'
'-y+3/4,-x+1/4,z+3/4'
loop_
_atom_site_label
_atom_site_type_symbol
_atom_site_fract_x
_atom_site_fract_y
_atom_site_fract_z
Ce1 Ce 0.0000 0.2500 0.3750
Cd1 Cd 0.0000 0.2500 0.8750
Cd2 Cd 0.1207 0.0505 0.6793
Pd1 Pd 0.0000 0.0000 0.0000
```

Values from the calculation:
- formation energy (meV/atom) = -228.8